A relaxed structure of TaSnI2N. Source: Alexandria via LeMat-Bulk, functional GGA-PBE. Values from VASP.

```
&SYSTEM
  ibrav = 0, nat = 5, ntyp = 4
/
ATOMIC_SPECIES
I 126.90 I.upf
N 14.01 N.upf
Ta 180.95 Ta.upf
Sn 118.71 Sn.upf
CELL_PARAMETERS angstrom
-2.439 -4.441 -2.834
2.896 -2.367 1.218
-3.081 -1.331 4.737
ATOMIC_POSITIONS angstrom
I -1.540 -0.665 2.369
I -1.219 -2.221 -1.417
N 1.448 -1.184 0.609
Ta 0.000 0.000 0.000
Sn -1.312 -4.070 1.561
```

Values from the calculation:
Energy above the lowest structure with this stoichiometry = 0 meV/atom
Calculated density = 7.11 g cm⁻³
N(E_F) = 3.775 states/eV/f.u.
Total moment = 0.61 μB/f.u.
Electronic total energy = -0.1943 Ha/atom
E_form (uncorrected) = 0.168 eV/atom